1.
Entry from Alexandria: a geometry-optimized MnPb2Au structure (PBEsol).

Results
- SG: P4/mmm, No. 123
- Relative energy among the computed polymorphs: 46 meV/atom
- Size of the total moment: 3.88 μB per formula unit

abc: 5.0361 5.0361 3.4105
angles: 90.00 90.00 90.00
Fractional positions:
Mn: 0.0000 0.0000 0.0000
Pb: 0.0000 0.5000 0.5000
Pb: 0.5000 0.0000 0.5000
Au: 0.5000 0.5000 0.0000

2.
Entry from Alexandria: a geometry-optimized MnPb2Au structure (PBEsol).

Results
- SG: Imm2, No. 44
- Relative energy among the computed polymorphs: 0 meV/atom
- Size of the total moment: 3.92 μB per formula unit

abc: 6.0675 6.0675 6.0675
angles: 148.41 130.59 59.84
Fractional positions:
Mn: 0.0000 0.0000 0.0000
Pb: 0.2475 0.7475 0.5000
Pb: 0.5370 0.5370 0.0000
Au: 0.8030 0.3030 0.5000

3.
Entry from Alexandria: a geometry-optimized MnPd2Au structure (PBEsol).

Results
- SG: Fm-3m, No. 225
- Uncorrected energy: -26.09 eV/cell
- Size of the total moment: 4.55 μB per formula unit

abc: 4.4046 4.4046 4.4046
angles: 60.00 60.00 60.00
Fractional positions:
Mn: 0.0000 0.0000 0.0000
Pd: 0.2500 0.2500 0.2500
Pd: 0.7500 0.7500 0.7500
Au: 0.5000 0.5000 0.5000

4.
Entry from Alexandria: a geometry-optimized MnPdAu3 structure (PBEsol).

Results
- SG: Pm-3m, No. 221
- Uncorrected energy: -22.10 eV/cell
- Size of the total moment: 5.08 μB per formula unit

abc: 4.8982 4.8982 4.8982
angles: 90.00 90.00 90.00
Fractional positions:
Mn: 0.0000 0.0000 0.0000
Pd: 0.5000 0.5000 0.5000
Au: 0.0000 0.5000 0.5000
Au: 0.5000 0.0000 0.5000
Au: 0.5000 0.5000 0.0000

5.
Entry from Alexandria: a geometry-optimized Sc2MnPdAu structure (PBEsol).

Results
- SG: P4/mmm, No. 123
- Uncorrected energy: -30.47 eV/cell
- Size of the total moment: 3.92 μB per formula unit

abc: 5.0103 5.0103 4.7561
angles: 90.00 90.00 90.00
Fractional positions:
Sc: 0.0000 0.5000 0.0000
Sc: 0.5000 0.0000 0.0000
Mn: 0.0000 0.0000 0.5000
Pd: 0.5000 0.5000 0.5000
Au: 0.0000 0.0000 0.0000

6.
Entry from Alexandria: a geometry-optimized Mn2PtAu structure (PBEsol).

Results
- SG: Fm-3m, No. 225
- Uncorrected energy: -30.48 eV/cell
- Size of the total moment: 8.38 μB per formula unit

abc: 4.3979 4.3979 4.3979
angles: 60.00 60.00 60.00
Fractional positions:
Mn: 0.2500 0.2500 0.2500
Mn: 0.7500 0.7500 0.7500
Pt: 0.0000 0.0000 0.0000
Au: 0.5000 0.5000 0.5000

7.
Entry from Alexandria: a geometry-optimized MnPtAu3 structure (PBEsol).

Results
- SG: Pm-3m, No. 221
- Uncorrected energy: -22.18 eV/cell
- Size of the total moment: 4.62 μB per formula unit

abc: 4.6678 4.6678 4.6678
angles: 90.00 90.00 90.00
Fractional positions:
Mn: 0.0000 0.0000 0.0000
Pt: 0.5000 0.5000 0.5000
Au: 0.0000 0.0000 0.5000
Au: 0.0000 0.5000 0.0000
Au: 0.5000 0.0000 0.0000

8.
Entry from Alexandria: a geometry-optimized MnPtAu structure (PBEsol).

Results
- SG: Imm2, No. 44
- Relative energy among the computed polymorphs: 0 meV/atom
- Size of the total moment: 4.00 μB per formula unit

abc: 4.9060 4.9060 4.9060
angles: 146.12 135.97 56.69
Fractional positions:
Mn: 0.0000 0.0000 0.0000
Pt: 0.6508 0.6508 0.0000
Au: 0.3310 0.3310 0.0000

9.
Entry from Alexandria: a geometry-optimized Mn2Pt2Au structure (PBEsol).

Results
- SG: P4/mbm, No. 127
- Uncorrected energy: -75.43 eV/cell
- Size of the total moment: 7.90 μB per formula unit

abc: 7.3389 7.3389 2.8332
angles: 90.00 90.00 90.00
Fractional positions:
Mn: 0.1626 0.3374 0.0000
Mn: 0.3374 0.8374 0.0000
Mn: 0.6626 0.1626 0.0000
Mn: 0.8374 0.6626 0.0000
Pt: 0.1350 0.6350 0.5000
Pt: 0.3650 0.1350 0.5000
Pt: 0.6350 0.8650 0.5000
Pt: 0.8650 0.3650 0.5000
Au: 0.0000 0.0000 0.5000
Au: 0.5000 0.5000 0.5000

10.
Entry from Alexandria: a geometry-optimized MnPtAu structure (PBEsol).

Results
- SG: I4mm, No. 107
- Relative energy among the computed polymorphs: 35 meV/atom
- Size of the total moment: 3.92 μB per formula unit

abc: 4.9627 4.9627 4.9627
angles: 142.21 142.21 54.52
Fractional positions:
Mn: 0.0000 0.0000 0.0000
Pt: 0.6478 0.6478 0.0000
Au: 0.3333 0.3333 0.0000

11.
Entry from Alexandria: a geometry-optimized Mn2Sb2PtAu structure (PBEsol).

Results
- SG: R3m, No. 160
- Uncorrected energy: -40.03 eV/cell
- Size of the total moment: 9.02 μB per formula unit

abc: 7.6765 7.6765 7.6765
angles: 33.37 33.37 33.37
Fractional positions:
Mn: 0.0000 0.0000 0.0000
Mn: 0.4952 0.4952 0.4952
Sb: 0.2512 0.2512 0.2512
Sb: 0.7451 0.7451 0.7451
Pt: 0.3737 0.3737 0.3737
Au: 0.8718 0.8718 0.8718

12.
Entry from Alexandria: a geometry-optimized RbMnAuS2 structure (PBEsol).

Results
- SG: P4/mmm, No. 123
- Uncorrected energy: -22.27 eV/cell
- Size of the total moment: 3.61 μB per formula unit

abc: 4.4587 4.4587 6.8954
angles: 90.00 90.00 90.00
Fractional positions:
Rb: 0.0000 0.0000 0.0000
Mn: 0.0000 0.0000 0.5000
Au: 0.5000 0.5000 0.0000
S: 0.0000 0.5000 0.5000
S: 0.5000 0.0000 0.5000

13.
Entry from Alexandria: a geometry-optimized RbMn2AuSe structure (PBEsol).

Results
- SG: P4/mmm, No. 123
- Uncorrected energy: -25.43 eV/cell
- Size of the total moment: 8.02 μB per formula unit

abc: 4.6638 4.6638 6.2823
angles: 90.00 90.00 90.00
Fractional positions:
Rb: 0.0000 0.0000 0.0000
Mn: 0.0000 0.5000 0.5000
Mn: 0.5000 0.0000 0.5000
Au: 0.5000 0.5000 0.0000
Se: 0.0000 0.0000 0.5000

14.
Entry from Alexandria: a geometry-optimized RbMn2SiAu structure (PBEsol).

Results
- SG: P4/mmm, No. 123
- Uncorrected energy: -17.78 eV/cell
- Size of the total moment: 7.31 μB per formula unit

abc: 4.6971 4.6971 5.1679
angles: 90.00 90.00 90.00
Fractional positions:
Rb: 0.0000 0.0000 0.0000
Mn: 0.0000 0.5000 0.0000
Mn: 0.5000 0.0000 0.0000
Si: 0.0000 0.0000 0.5000
Au: 0.5000 0.5000 0.5000

15.
Entry from Alexandria: a geometry-optimized Mn2ReAu structure (PBEsol).

Results
- SG: P4mm, No. 99
- Relative energy among the computed polymorphs: 0 meV/atom
- Size of the total moment: 2.55 μB per formula unit

abc: 2.6970 2.6970 7.4559
angles: 90.00 90.00 90.00
Fractional positions:
Mn: 0.0000 0.0000 0.0000
Mn: 0.5000 0.5000 0.2131
Re: 0.5000 0.5000 0.7803
Au: 0.0000 0.0000 0.4860